[1]
LiTaZn: PBEsol geometry, meta-GGA SCAN.

Cell and atoms, written as extended XYZ:
```
3
Lattice="4.139 0.000 0.000 2.070 3.585 0.000 2.070 1.195 3.380" Properties=species:S:1:pos:R:3 pbc="T T T"
Li 0.000 0.000 0.000
Zn 2.070 1.195 0.845
Ta 4.139 2.390 1.690
```

Calculated values
**Energy above the lowest structure with this stoichiometry**: 169 kJ/mol of formula units
**Space-group type**: F-43m, No. 216
**Density of states at the Fermi level**: 0.186 states/eV per atom
**Raw total energy**: -26.7659 eV/atom
**Energy of formation from the pure elements**: 0.73 eV per atom



[2]
Li2TaZn: PBEsol geometry, meta-GGA SCAN.

Cell and atoms, written as extended XYZ:
```
4
Lattice="2.631 0.000 0.000 0.000 4.760 0.000 -1.316 -2.380 4.824" Properties=species:S:1:pos:R:3 pbc="T T T"
Zn 0.000 2.380 2.578
Li 1.316 2.380 4.675
Li 1.316 0.000 2.244
Ta 1.316 2.380 0.152
```

Calculated values
**Space-group type**: Imm2, No. 44
**Density of states at the Fermi level**: 0.440 states/eV per atom
**Raw total energy**: -20.8960 eV/atom
**Energy of formation from the pure elements**: 0.32 eV per atom



[3]
Li2TaZn: PBEsol geometry, meta-GGA SCAN.

Cell and atoms, written as extended XYZ:
```
4
Lattice="2.581 0.000 0.000 -1.291 4.541 0.017 0.000 -0.602 5.375" Properties=species:S:1:pos:R:3 pbc="T T T"
Ta 1.291 -0.237 2.824
Li 1.291 4.442 0.070
Zn 0.000 1.859 3.997
Li 1.291 2.117 1.206
```

Calculated values
**Space-group type**: Cm, No. 8
**Density of states at the Fermi level**: 0.552 states/eV per atom
**Raw total energy**: -20.9422 eV/atom
**Energy of formation from the pure elements**: 0.28 eV per atom



[4]
Li2TaZn: PBEsol geometry, meta-GGA SCAN.

Cell and atoms, written as extended XYZ:
```
4
Lattice="2.564 0.000 0.008 0.000 4.718 0.000 -0.294 0.000 5.103" Properties=species:S:1:pos:R:3 pbc="T T T"
Zn -0.147 2.359 2.552
Li 0.299 0.000 1.278
Ta 1.282 2.359 0.004
Li 1.972 0.000 3.833
```

Calculated values
**Space-group type**: P2/m, No. 10
**Density of states at the Fermi level**: 0.568 states/eV per atom
**Raw total energy**: -21.0070 eV/atom
**Energy of formation from the pure elements**: 0.21 eV per atom



[5]
LiTa2Zn: PBEsol geometry, meta-GGA SCAN.

Cell and atoms, written as extended XYZ:
```
4
Lattice="3.088 0.000 0.000 0.000 4.345 0.000 0.000 0.000 4.753" Properties=species:S:1:pos:R:3 pbc="T T T"
Li 0.000 2.172 2.377
Ta 1.544 2.172 0.000
Ta 0.000 0.000 0.000
Zn 1.544 0.000 2.377
```

Calculated values
**Space-group type**: Pmmm, No. 47
**Density of states at the Fermi level**: 0.639 states/eV per atom
**Raw total energy**: -37.0590 eV/atom
**Energy of formation from the pure elements**: 0.21 eV per atom



[6]
Li3ZrTa: PBEsol geometry, meta-GGA SCAN.

Cell and atoms, written as extended XYZ:
```
5
Lattice="-0.347 2.106 4.095 3.994 -1.907 1.319 2.293 3.641 -1.678" Properties=species:S:1:pos:R:3 pbc="T T T"
Zr 2.970 1.920 1.868
Li 1.997 -0.954 0.659
Li 1.146 1.820 -0.839
Li -0.173 1.053 2.048
Ta 0.000 0.000 0.000
```

Calculated values
**Space-group type**: Pm-3m, No. 221
**Density of states at the Fermi level**: 1.121 states/eV per atom
**Raw total energy**: -19.3830 eV/atom
**Energy of formation from the pure elements**: 1.51 eV per atom



[7]
Li4ZrTa: PBEsol geometry, meta-GGA SCAN.

Cell and atoms, written as extended XYZ:
```
6
Lattice="5.185 0.000 0.000 2.593 4.491 0.000 2.593 1.497 4.234" Properties=species:S:1:pos:R:3 pbc="T T T"
Li 3.899 2.251 1.592
Ta 7.778 4.491 3.175
Li 5.185 2.994 3.692
Li 5.185 4.479 1.592
Zr 0.000 0.000 0.000
Li 6.472 2.251 1.592
```

Calculated values
**Space-group type**: F-43m, No. 216
**Density of states at the Fermi level**: 0.610 states/eV per atom
**Raw total energy**: -17.3115 eV/atom
**Energy of formation from the pure elements**: 0.50 eV per atom



[8]
Li5Tc: PBEsol geometry, meta-GGA SCAN.

Cell and atoms, written as extended XYZ:
```
6
Lattice="-1.337 3.301 -2.687 -3.955 0.599 2.704 4.023 2.465 1.027" Properties=species:S:1:pos:R:3 pbc="T T T"
Li -1.296 1.221 2.145
Li 1.343 2.883 -0.830
Tc 0.000 0.000 0.000
Li -2.646 1.950 0.009
Li 1.363 1.843 1.586
Li -0.635 3.183 0.522
```

Calculated values
**Energy above the lowest structure with this stoichiometry**: 202 kJ/mol of formula units
**Space-group type**: P6/mmm, No. 191
**Density of states at the Fermi level**: 0.449 states/eV per atom
**Raw total energy**: -7.2271 eV/atom
**Energy of formation from the pure elements**: 0.61 eV per atom



[9]
Li5Tc: PBEsol geometry, meta-GGA SCAN.

Cell and atoms, written as extended XYZ:
```
6
Lattice="-1.904 1.510 3.869 -4.306 -1.568 -1.507 2.872 -2.918 2.552" Properties=species:S:1:pos:R:3 pbc="T T T"
Li -0.465 -1.456 0.339
Li -0.472 -1.713 3.133
Li 1.940 -1.971 1.724
Tc -0.952 0.755 1.934
Li -2.865 -1.263 1.780
Li -2.909 -1.060 -1.018
```

Calculated values
**Energy above the lowest structure with this stoichiometry**: 89 kJ/mol of formula units
**Space-group type**: P-62m, No. 189
**Density of states at the Fermi level**: 0.602 states/eV per atom
**Raw total energy**: -7.4211 eV/atom
**Energy of formation from the pure elements**: 0.41 eV per atom



[10]
Li2Tc: PBEsol geometry, meta-GGA SCAN.

Cell and atoms, written as extended XYZ:
```
3
Lattice="4.301 0.000 0.000 2.151 3.725 0.000 2.151 1.242 3.512" Properties=species:S:1:pos:R:3 pbc="T T T"
Li 2.151 1.242 0.878
Tc 0.000 0.000 0.000
Li 6.452 3.725 2.634
```

Calculated values
**Space-group type**: Fm-3m, No. 225
**Density of states at the Fermi level**: 1.091 states/eV per atom
**Raw total energy**: -11.9445 eV/atom
**Energy of formation from the pure elements**: 1.34 eV per atom



[11]
Li5Tc: PBEsol geometry, meta-GGA SCAN.

Cell and atoms, written as extended XYZ:
```
6
Lattice="2.516 0.000 0.000 0.000 4.833 0.000 0.000 -2.416 7.299" Properties=species:S:1:pos:R:3 pbc="T T T"
Li 1.258 0.000 0.000
Li 1.258 2.416 2.369
Tc 0.000 2.416 0.000
Li 0.000 0.000 2.223
Li 0.000 2.416 5.077
Li 1.258 0.000 4.931
```

Calculated values
**Energy above the lowest structure with this stoichiometry**: 0 kJ/mol of formula units
**Space-group type**: Cmmm, No. 65
**Density of states at the Fermi level**: 0.356 states/eV per atom
**Raw total energy**: -7.5755 eV/atom
**Energy of formation from the pure elements**: 0.26 eV per atom



[12]
LiTc5: PBEsol geometry, meta-GGA SCAN.

Cell and atoms, written as extended XYZ:
```
6
Lattice="-0.426 -0.677 -2.582 -1.240 -3.941 1.237 -6.418 2.583 1.795" Properties=species:S:1:pos:R:3 pbc="T T T"
Tc -2.467 0.425 -1.119
Tc -2.058 -1.484 0.728
Li 0.000 0.000 0.000
Tc -6.516 0.026 1.067
Tc -4.487 -1.072 -0.394
Tc -4.440 1.503 0.338
```

Calculated values
**Space-group type**: Amm2, No. 38
**Density of states at the Fermi level**: 0.769 states/eV per atom
**Raw total energy**: -29.4900 eV/atom
**Energy of formation from the pure elements**: 0.12 eV per atom



Which of these has the highest energy of formation from the pure elements?
Li3ZrTa